one | A relaxed Li2TcMo crystal, computed with PBE-GGA.

It has space group Pmm2 (No. 25), with a = 2.5282 Å, b = 4.2254 Å, c = 5.7487 Å, α = 90.00°, β = 90.00° and γ = 90.00°. The inequivalent atoms are Li at (0.0000, 0.0000, 0.0000), Li at (0.5000, 0.5000, 0.2211), Tc at (0.5000, 0.5000, 0.7161) and Mo at (0.0000, 0.0000, 0.5131).

two | A relaxed Li2TcMo crystal, computed with PBE-GGA.

It has space group Cm (No. 8), with a = 9.0244 Å, b = 2.5000 Å, c = 5.3430 Å, α = 90.00°, β = 92.06° and γ = 90.00°. The inequivalent atoms are Li at (0.0000, 0.0000, 0.0000), Li at (0.2489, 0.0000, 0.7805), Tc at (0.0046, 0.5000, 0.4919) and Mo at (0.2478, 0.5000, 0.2962).

Stability check: which of them is most stable? two.

one | A relaxed Li2TcMo crystal, computed with PBE-GGA.

It has space group R3m (No. 160, hexagonal axes), with a = 2.7462 Å, b = 2.7462 Å, c = 29.0559 Å, α = 90.00°, β = 90.00° and γ = 120.00°. The inequivalent atoms are Li at (0.0000, 0.0000, 0.0000), Li at (0.0000, 0.0000, 0.2424), Tc at (0.0000, 0.0000, 0.4957) and Mo at (0.0000, 0.0000, 0.7516).

two | A relaxed Li2TcMo crystal, computed with PBE-GGA.

It has space group P4/mmm (No. 123), with a = 2.5136 Å, b = 2.5136 Å, c = 9.3294 Å, α = 90.00°, β = 90.00° and γ = 90.00°. The inequivalent atoms are Li at (0.0000, 0.0000, 0.2414), Tc at (0.5000, 0.5000, 0.0000) and Mo at (0.5000, 0.5000, 0.5000).

Stability check: which of them is most stable? one.

one | A relaxed LiTcMo2 crystal, computed with PBE-GGA.

It has space group R-3m (No. 166, hexagonal axes), with a = 2.7625 Å, b = 2.7625 Å, c = 28.4731 Å, α = 90.00°, β = 90.00° and γ = 120.00°. The inequivalent atoms are Li at (0.0000, 0.0000, 0.0000), Tc at (0.0000, 0.0000, 0.5000) and Mo at (0.0000, 0.0000, 0.2449).

two | A relaxed LiTcMo2 crystal, computed with PBE-GGA.

It has space group P4mm (No. 99), with a = 2.6024 Å, b = 2.6024 Å, c = 9.1580 Å, α = 90.00°, β = 90.00° and γ = 90.00°. The inequivalent atoms are Li at (0.0000, 0.0000, 0.0000), Tc at (0.5000, 0.5000, 0.7571), Mo at (0.0000, 0.0000, 0.5111) and Mo at (0.5000, 0.5000, 0.2596).

Stability check: which of them is most stable? one.

one | A relaxed LiTcMo2 crystal, computed with PBE-GGA.

It has space group C2/m (No. 12), with a = 5.3718 Å, b = 8.8326 Å, c = 2.6323 Å, α = 90.00°, β = 108.59° and γ = 90.00°. The inequivalent atoms are Li at (0.0000, 0.0000, 0.0000), Tc at (0.0000, 0.5000, 0.0000) and Mo at (0.2500, 0.2500, 0.5000).

two | A relaxed LiTcMo2 crystal, computed with PBE-GGA.

It has space group P4/mmm (No. 123), with a = 3.8924 Å, b = 3.8924 Å, c = 3.8304 Å, α = 90.00°, β = 90.00° and γ = 90.00°. The inequivalent atoms are Li at (0.0000, 0.0000, 0.0000), Tc at (0.5000, 0.5000, 0.0000) and Mo at (0.0000, 0.5000, 0.5000).

three | A relaxed LiTcMo2 crystal, computed with PBE-GGA.

It has space group Cm (No. 8), with a = 9.0051 Å, b = 2.5737 Å, c = 5.1792 Å, α = 90.00°, β = 92.32° and γ = 90.00°. The inequivalent atoms are Li at (0.0000, 0.0000, 0.0000), Tc at (0.2472, 0.5000, 0.2389), Mo at (0.0016, 0.5000, 0.4941) and Mo at (0.2504, 0.0000, 0.7594).

Stability check: which of them is most stable? one.

one | A relaxed LiTcMo2 crystal, computed with PBE-GGA.

It has space group P4/mmm (No. 123), with a = 2.7251 Å, b = 2.7251 Å, c = 8.5648 Å, α = 90.00°, β = 90.00° and γ = 90.00°. The inequivalent atoms are Li at (0.0000, 0.0000, 0.0000), Tc at (0.0000, 0.0000, 0.5000) and Mo at (0.5000, 0.5000, 0.2715).

two | A relaxed LiTcMo2 crystal, computed with PBE-GGA.

It has space group P4mm (No. 99), with a = 3.2222 Å, b = 3.2222 Å, c = 5.5518 Å, α = 90.00°, β = 90.00° and γ = 90.00°. The inequivalent atoms are Li at (0.0000, 0.0000, 0.0000), Tc at (0.5000, 0.5000, 0.7738), Mo at (0.0000, 0.0000, 0.5082) and Mo at (0.5000, 0.5000, 0.2364).

three | A relaxed LiTcMo2 crystal, computed with PBE-GGA.

It has space group I-42d (No. 122), with a = 7.0377 Å, b = 7.0377 Å, c = 5.2578 Å, α = 90.00°, β = 90.00° and γ = 90.00°. The inequivalent atoms are Li at (0.0000, 0.0000, 0.0000), Tc at (0.0000, 0.0000, 0.5000) and Mo at (0.2237, 0.2500, 0.6250).

four | A relaxed LiTcMo2 crystal, computed with PBE-GGA.

It has space group Fm-3m (No. 225), with a = 6.1519 Å, b = 6.1519 Å, c = 6.1519 Å, α = 90.00°, β = 90.00° and γ = 90.00°. The inequivalent atoms are Li at (0.0000, 0.0000, 0.0000), Tc at (0.0000, 0.0000, 0.5000) and Mo at (0.2500, 0.2500, 0.2500).

Stability check: which of them is most stable? four.

one | A relaxed LiTcMo2 crystal, computed with PBE-GGA.

It has space group Pmm2 (No. 25), with a = 2.5469 Å, b = 4.3741 Å, c = 5.3724 Å, α = 90.00°, β = 90.00° and γ = 90.00°. The inequivalent atoms are Li at (0.0000, 0.0000, 0.0000), Tc at (0.5000, 0.5000, 0.7608), Mo at (0.0000, 0.0000, 0.5061) and Mo at (0.5000, 0.5000, 0.2374).

two | A relaxed LiTcMo2 crystal, computed with PBE-GGA.

It has space group Pm (No. 6), with a = 2.6264 Å, b = 4.3852 Å, c = 5.2177 Å, α = 90.00°, β = 99.68° and γ = 90.00°. The inequivalent atoms are Li at (0.0000, 0.0000, 0.0000), Tc at (0.2499, 0.5000, 0.7548), Mo at (0.4714, 0.0000, 0.5088) and Mo at (0.7223, 0.5000, 0.2428).

Stability check: which of them is most stable? two.